Entry 1:
Computed, not measured: a relaxed structure of ScH6Rh3 at the PBE-GGA level of DFT.

Properties
Total DFT energy (no corrections), eV/atom: -5.1254
DOS at the Fermi energy, states/eV/atom: 0.39
Space group: R3, No. 146

Cell: 4.7399 4.7398 5.1009 Å, 90.00 117.68 120.00°
Atoms (fractional coordinates):
Sc  0.7898  0.8949  0.6847
H  0.3395  0.4309  0.7385
H  0.1670  0.7101  0.2668
H  0.8098  0.0998  0.2668
H  0.3075  0.9085  0.7385
H  0.8300  0.3990  0.7385
H  0.5568  0.4570  0.2668
Rh  0.6577  0.3288  0.9865
Rh  0.3467  0.6733  0.0200
Rh  0.1952  0.0976  0.2929

Entry 2:
Computed, not measured: a relaxed structure of BaAlCdCl2 at the PBE-GGA level of DFT.

Properties
Total DFT energy (no corrections), eV/atom: -2.6695
DOS at the Fermi energy, states/eV/atom: 0.81
Space group: P4/mmm, No. 123
ΔE_f (raw), meV/atom: -615

Cell: 5.6362 5.2061 5.6362 Å, 90.00 90.00 90.00°
Last column: magnetic moment on the atom in μB.
Atoms (fractional coordinates):
Al  0.0000  0.5000  0.0000  0.06
Cl  0.0000  0.0000  0.5000  0.01
Cl  0.5000  0.0000  0.0000  0.02
Ba  0.5000  0.5000  0.5000  0.08
Cd  0.0000  0.0000  0.0000  0.00

Entry 3:
Computed, not measured: a relaxed structure of BaEu3Co at the PBE-GGA level of DFT.

Properties
Total DFT energy (no corrections), eV/atom: -7.8830
DOS at the Fermi energy, states/eV/atom: 3.32
Formation enthalpy at 0 K, eV per formula unit: 0.44
Space group: Pm-3m, No. 221

Cell: 5.7292 5.7292 5.7292 Å, 90.00 90.00 90.00°
Last column: magnetic moment on the atom in μB.
Atoms (fractional coordinates):
Eu  0.0000  0.5000  0.0000  6.93
Eu  0.0000  0.0000  0.5000  6.93
Eu  0.5000  0.0000  0.0000  6.93
Co  0.0000  0.0000  0.0000  -1.04
Ba  0.5000  0.5000  0.5000  0.11

Entry 4:
Computed, not measured: a relaxed structure of Li2ZrPt2 at the PBE-GGA level of DFT.

Properties
Total DFT energy (no corrections), eV/atom: -5.5559
DOS at the Fermi energy, states/eV/atom: 0.49
Formation enthalpy at 0 K, eV per formula unit: -3.32
Space group: I4/mmm, No. 139

Cell: 3.5094 3.5094 7.2223 Å, 75.94 75.94 90.00°
Atoms (fractional coordinates):
Zr  0.0000  0.0000  0.0000
Pt  0.3981  0.3981  0.2037
Pt  0.6019  0.6019  0.7963
Li  0.7500  0.2500  0.5000
Li  0.2500  0.7500  0.5000

Entry 5:
Computed, not measured: a relaxed structure of Hf12Sn5Mo2 at the PBE-GGA level of DFT.

Properties
Total DFT energy (no corrections), eV/atom: -8.5754
DOS at the Fermi energy, states/eV/atom: 0.80
Formation enthalpy at 0 K, eV per formula unit: -1.81
Space group: C2/m, No. 12

Cell: 8.9775 7.6507 7.6160 Å, 88.46 90.00 125.92°
Atoms (fractional coordinates):
Hf  0.9021  0.8042  0.1187
Hf  0.0479  0.7224  0.7793
Hf  0.6744  0.7224  0.7793
Hf  0.1796  0.7895  0.3810
Hf  0.6099  0.7895  0.3810
Hf  0.4392  0.8785  0.7174
Hf  0.5608  0.1215  0.2826
Hf  0.8204  0.2105  0.6190
Hf  0.3901  0.2105  0.6190
Hf  0.9521  0.2776  0.2207
Hf  0.3256  0.2776  0.2207
Hf  0.0979  0.1958  0.8813
Sn  0.2361  0.4723  0.5451
Sn  0.3301  0.6601  0.0781
Sn  0.0000  0.0000  0.5000
Sn  0.6699  0.3399  0.9219
Sn  0.7639  0.5277  0.4549
Mo  0.7205  0.0000  0.0000
Mo  0.2795  0.0000  0.0000

Entry 6:
Computed, not measured: a relaxed structure of SrAl4PdAu2 at the PBE-GGA level of DFT.

Properties
Total DFT energy (no corrections), eV/atom: -4.0835
DOS at the Fermi energy, states/eV/atom: 0.43
Formation enthalpy at 0 K, eV per formula unit: -4.27
Space group: R-3m, No. 166

Cell: 4.3751 4.3751 9.9036 Å, 77.24 77.24 60.00°
Atoms (fractional coordinates):
Sr  0.0000  0.0000  0.0000
Al  0.4092  0.4092  0.7724
Al  0.8648  0.8648  0.4057
Al  0.1352  0.1352  0.5943
Al  0.5908  0.5908  0.2276
Pd  0.5000  0.5000  0.5000
Au  0.7580  0.7580  0.7260
Au  0.2420  0.2420  0.2740

Entry 7:
Computed, not measured: a relaxed structure of SrCu2Br at the PBE-GGA level of DFT.

Properties
Total DFT energy (no corrections), eV/atom: -3.2819
DOS at the Fermi energy, states/eV/atom: 0.26
Space group: Pm, No. 6
ΔE_f (raw), meV/atom: -395

Cell: 3.6869 3.6874 7.3033 Å, 91.92 90.00 90.00°
Atoms (fractional coordinates):
Br  0.5000  0.8960  0.7121
Cu  0.0000  0.8613  0.1506
Cu  0.5000  0.3613  0.1503
Sr  0.0000  0.3813  0.4870

Entry 8:
Computed, not measured: a relaxed structure of NaAcLaIn at the PBE-GGA level of DFT.

Properties
Total DFT energy (no corrections), eV/atom: -3.4379
DOS at the Fermi energy, states/eV/atom: 1.21
Formation enthalpy at 0 K, eV per formula unit: -0.66
Space group: F-43m, No. 216

Cell: 5.7648 5.7648 5.7648 Å, 60.00 60.00 60.00°
Atoms (fractional coordinates):
Na  0.5000  0.5000  0.5000
Ac  0.7500  0.7500  0.7500
In  0.0000  0.0000  0.0000
La  0.2500  0.2500  0.2500

Entry 9:
Computed, not measured: a relaxed structure of TmAlP at the PBE-GGA level of DFT.

Properties
Total DFT energy (no corrections), eV/atom: -5.2817
DOS at the Fermi energy, states/eV/atom: 0.18
Formation enthalpy at 0 K, eV per formula unit: -2.22
Space group: R-3m, No. 166

Cell: 4.6016 4.6016 8.0126 Å, 73.31 73.31 60.00°
Atoms (fractional coordinates):
Tm  0.5944  0.5944  0.2169
Tm  0.4056  0.4056  0.7831
P  0.2828  0.2828  0.1517
P  0.7173  0.7173  0.8483
Al  0.8221  0.8221  0.5336
Al  0.1779  0.1779  0.4664

Entry 10:
Computed, not measured: a relaxed structure of TbErMgBe at the PBE-GGA level of DFT.

Properties
Total DFT energy (no corrections), eV/atom: -3.5380
DOS at the Fermi energy, states/eV/atom: 1.06
Formation enthalpy at 0 K, eV per formula unit: 0.36
Space group: F-43m, No. 216

Cell: 5.0759 5.0759 5.0759 Å, 60.00 60.00 60.00°
Atoms (fractional coordinates):
Be  0.0000  0.0000  0.0000
Mg  0.5000  0.5000  0.5000
Tb  0.2500  0.2500  0.2500
Er  0.7500  0.7500  0.7500

Entry 11:
Computed, not measured: a relaxed structure of La2CeDy6Y3 at the PBE-GGA level of DFT.

Properties
Total DFT energy (no corrections), eV/atom: -5.1916
DOS at the Fermi energy, states/eV/atom: 1.81
Formation enthalpy at 0 K, eV per formula unit: 0.49
Space group: C2/m, No. 12

Cell: 6.2150 6.2150 11.8598 Å, 95.01 95.01 120.03°
Last column: magnetic moment on the atom in μB.
Atoms (fractional coordinates):
La  0.3337  0.6663  0.0000  0.02
La  0.6663  0.3337  0.0000  0.02
Ce  0.0000  0.0000  0.0000  0.74
Dy  0.9163  0.5861  0.7477  0.01
Dy  0.7536  0.7536  0.2526  0.01
Dy  0.0837  0.4139  0.2523  0.01
Dy  0.5861  0.9163  0.7477  0.01
Dy  0.2464  0.2464  0.7474  0.01
Dy  0.4139  0.0837  0.2523  0.01
Y  0.1668  0.8332  0.5000  -0.01
Y  0.8332  0.1668  0.5000  -0.01
Y  0.5000  0.5000  0.5000  -0.01

Entry 12:
Computed, not measured: a relaxed structure of HfPbSeN2 at the PBE-GGA level of DFT.

Properties
Total DFT energy (no corrections), eV/atom: -6.7862
DOS at the Fermi energy, states/eV/atom: 0.62
Space group: P4/mmm, No. 123
ΔE_f (raw), meV/atom: -27

Cell: 4.2203 4.2203 5.5041 Å, 90.00 90.00 90.00°
Last column: magnetic moment on the atom in μB.
Atoms (fractional coordinates):
Pb  0.5000  0.5000  0.5000  -0.01
Hf  0.0000  0.0000  0.0000  -0.03
Se  0.0000  0.0000  0.5000  0.03
N  0.0000  0.5000  0.0000  0.35
N  0.5000  0.0000  0.0000  0.35

Entry 13:
Computed, not measured: a relaxed structure of KCdPdPb2 at the PBE-GGA level of DFT.

Properties
Total DFT energy (no corrections), eV/atom: -2.9924
DOS at the Fermi energy, states/eV/atom: 0.55
Formation enthalpy at 0 K, eV per formula unit: -0.34
Space group: P4/mmm, No. 123

Cell: 5.4600 5.4600 5.3623 Å, 90.00 90.00 90.00°
Atoms (fractional coordinates):
Pb  0.0000  0.5000  0.0000
Pb  0.5000  0.0000  0.0000
K  0.5000  0.5000  0.5000
Pd  0.0000  0.0000  0.0000
Cd  0.0000  0.0000  0.5000

Entry 14:
Computed, not measured: a relaxed structure of ScSnPt at the PBE-GGA level of DFT.

Properties
Total DFT energy (no corrections), eV/atom: -6.4737
DOS at the Fermi energy, states/eV/atom: 0.50
Formation enthalpy at 0 K, eV per formula unit: -3.05
Space group: P-62c, No. 190

Cell: 7.4635 7.4635 7.3690 Å, 90.00 90.00 120.00°
Atoms (fractional coordinates):
Sc  0.4041  0.0183  0.2500
Sc  0.6142  0.5959  0.2500
Sc  0.9817  0.3858  0.2500
Sc  0.3858  0.9817  0.7500
Sc  0.5959  0.6142  0.7500
Sc  0.0183  0.4041  0.7500
Sn  0.2734  0.2734  0.0000
Sn  0.0000  0.7266  0.0000
Sn  0.0000  0.7266  0.5000
Sn  0.7266  0.0000  0.5000
Sn  0.2734  0.2734  0.5000
Sn  0.7266  0.0000  0.0000
Pt  0.0000  0.0000  0.7500
Pt  0.0000  0.0000  0.2500
Pt  0.6667  0.3333  0.9632
Pt  0.3333  0.6667  0.4632
Pt  0.3333  0.6667  0.0368
Pt  0.6667  0.3333  0.5368

Entry 15:
Computed, not measured: a relaxed structure of KCu4P2 at the PBE-GGA level of DFT.

Properties
Total DFT energy (no corrections), eV/atom: -4.2254
DOS at the Fermi energy, states/eV/atom: 0.29
Formation enthalpy at 0 K, eV per formula unit: -1.28
Space group: Cmmm, No. 65

Cell: 4.0468 3.9826 7.9923 Å, 104.43 90.00 90.00°
Atoms (fractional coordinates):
K  0.0000  0.0000  0.0000
Cu  0.5000  0.7994  0.5988
Cu  0.0000  0.6924  0.3848
Cu  0.5000  0.2006  0.4012
Cu  0.0000  0.3076  0.6152
P  0.5000  0.6266  0.2532
P  0.5000  0.3734  0.7468